(1)
The following is a DFT calculation (PBE-GGA) of an optimized crystal structure of NaAcNi2As2.

Results
crystal system: trigonal
calculated formation energy: -613 meV/atom

a = 4.0982 Å, b = 4.0982 Å, c = 8.7740 Å
α = 90.00°, β = 90.00°, γ = 120.00°
Last column: nearest neighbours and their distance in Å.
Fractional positions:
Na: 0.0000 0.0000 0.5000  6 As 3.19, 6 Ni 3.20
Ac: 0.0000 0.0000 0.0000  6 Ni 3.25, 6 As 3.26
Ni: 0.6667 0.3333 0.2540  3 As 2.37
Ni: 0.3333 0.6667 0.7460  3 As 2.37
As: 0.6667 0.3333 0.7441  3 Ni 2.37
As: 0.3333 0.6667 0.2559  3 Ni 2.37

(2)
The following is a DFT calculation (PBE-GGA) of an optimized crystal structure of V5Cr2Re.

Results
crystal system: orthorhombic
calculated formation energy: -69 meV/atom

a = 4.2756 Å, b = 5.0255 Å, c = 9.8737 Å
α = 90.00°, β = 90.00°, γ = 90.00°
Last column: nearest neighbours and their distance in Å.
Fractional positions:
V: 0.5000 0.3302 0.1219  4 Cr 2.48-2.55, 2 Re 2.60, 2 V 2.66
V: 0.5000 0.6698 0.8781  4 Cr 2.48-2.55, 2 Re 2.60, 2 V 2.66
V: 0.5000 0.8302 0.3781  4 Cr 2.48-2.55, 2 Re 2.60, 2 V 2.66
V: 0.5000 0.1698 0.6219  4 Cr 2.48-2.55, 2 Re 2.60, 2 V 2.66
V: 0.0000 0.8500 0.7467  5 V 2.51-2.66, 1 Re 2.55, 2 Cr 2.64
V: 0.0000 0.1500 0.2533  5 V 2.51-2.66, 1 Re 2.55, 2 Cr 2.64
V: 0.0000 0.3500 0.7533  5 V 2.51-2.66, 1 Re 2.55, 2 Cr 2.64
V: 0.0000 0.6500 0.2467  5 V 2.51-2.66, 1 Re 2.55, 2 Cr 2.64
V: 0.0000 0.5000 0.5000  2 Re 2.51, 4 Cr 2.59, 2 V 2.61
V: 0.0000 0.0000 0.0000  2 Re 2.51, 4 Cr 2.59, 2 V 2.61
Cr: 0.5000 0.3365 0.3780  8 V 2.48-2.64
Cr: 0.5000 0.6635 0.6220  8 V 2.48-2.64
Cr: 0.5000 0.1635 0.8780  8 V 2.48-2.64
Cr: 0.5000 0.8365 0.1220  8 V 2.48-2.64
Re: 0.0000 0.0000 0.5000  8 V 2.51-2.60
Re: 0.0000 0.5000 0.0000  8 V 2.51-2.60

(3)
The following is a DFT calculation (PBE-GGA) of an optimized crystal structure of KSnSeCl.

Results
raw formation energy: -4.32 eV per formula unit
crystal system: trigonal

a = 4.2974 Å, b = 4.2979 Å, c = 8.2492 Å
α = 90.02°, β = 105.08°, γ = 120.02°
Last column: nearest neighbours and their distance in Å.
Fractional positions:
K: 0.4600 0.1279 0.6032  3 Cl 3.09-3.10, 3 Se 3.43
Sn: 0.1206 0.9585 0.0941  3 Se 2.89-2.90
Se: 0.3273 0.5616 0.9044  3 Sn 2.89-2.90
Cl: 0.9700 0.3828 0.3680  3 K 3.09-3.10, 3 Sn 3.28-3.29

(4)
The following is a DFT calculation (PBE-GGA) of an optimized crystal structure of Ag3SeCl.

Results
raw formation energy: -0.94 eV per formula unit
crystal system: monoclinic

a = 6.3994 Å, b = 8.7141 Å, c = 8.3353 Å
α = 104.77°, β = 90.00°, γ = 90.00°
Last column: nearest neighbours and their distance in Å.
Fractional positions:
Ag: 0.9635 0.7054 0.7262  2 Se 2.60-2.62, 1 Cl 2.86
Ag: 0.0365 0.2946 0.2738  2 Se 2.60-2.62, 1 Cl 2.86
Ag: 0.4635 0.7946 0.7738  2 Se 2.60-2.62, 1 Cl 2.86
Ag: 0.5365 0.2054 0.2262  2 Se 2.60-2.62, 1 Cl 2.86
Ag: 0.6844 0.5465 0.3374  2 Se 2.68-2.72, 2 Cl 2.77-2.92
Ag: 0.3156 0.4535 0.6626  2 Se 2.68-2.72, 2 Cl 2.77-2.92
Ag: 0.1844 0.9535 0.1626  2 Se 2.68-2.72, 2 Cl 2.77-2.92
Ag: 0.8156 0.0465 0.8374  2 Se 2.68-2.72, 2 Cl 2.77-2.92
Ag: 0.3302 0.3850 0.0069  1 Cl 2.59, 1 Se 2.65
Ag: 0.6698 0.6150 0.9931  1 Cl 2.59, 1 Se 2.65
Ag: 0.8302 0.1150 0.4931  1 Cl 2.59, 1 Se 2.65
Ag: 0.1698 0.8850 0.5069  1 Cl 2.59, 1 Se 2.65
Se: 0.7211 0.8396 0.5488  5 Ag 2.60-2.72
Se: 0.2789 0.1604 0.4512  5 Ag 2.60-2.72
Se: 0.2211 0.6604 0.9512  5 Ag 2.60-2.72
Se: 0.7789 0.3396 0.0488  5 Ag 2.60-2.72
Cl: 0.2570 0.5886 0.3798  3 Ag 2.59-2.86
Cl: 0.7430 0.4114 0.6202  3 Ag 2.59-2.86
Cl: 0.7570 0.9114 0.1202  3 Ag 2.59-2.86
Cl: 0.2430 0.0886 0.8798  3 Ag 2.59-2.86

(5)
The following is a DFT calculation (PBE-GGA) of an optimized crystal structure of Ga2Bi5O12.

Results
raw formation energy: -24.02 eV per formula unit
crystal system: monoclinic

a = 6.1484 Å, b = 7.0039 Å, c = 7.1828 Å
α = 105.08°, β = 90.00°, γ = 116.04°
Last column: nearest neighbours and their distance in Å.
Fractional positions:
Ga: 0.7625 0.0000 0.0000  6 O 1.99-2.09
Ga: 0.2375 0.0000 0.0000  6 O 1.99-2.09
Bi: 0.3168 0.6337 0.6501  5 O 2.27-2.44
Bi: 0.3128 0.6256 0.1583  7 O 2.30-2.51
Bi: 0.0000 0.0000 0.5000  6 O 2.17-2.24
Bi: 0.6872 0.3744 0.8417  7 O 2.30-2.51
Bi: 0.6832 0.3663 0.3499  5 O 2.27-2.44
O: 0.9981 0.9962 0.1872  2 Ga 1.99
O: 0.1067 0.6704 0.9125  1 Ga 2.00
O: 0.5637 0.6704 0.9125  1 Ga 2.00
O: 0.1000 0.7302 0.4358  1 Bi 2.17
O: 0.6302 0.7302 0.4358  1 Bi 2.17
O: 0.5004 0.0008 0.8146  2 Ga 2.09, 2 Bi 2.27-2.30
O: 0.4996 0.9992 0.1854  2 Ga 2.09, 2 Bi 2.27-2.30
O: 0.9000 0.2698 0.5642  1 Bi 2.17
O: 0.3698 0.2698 0.5642  1 Bi 2.17
O: 0.8933 0.3296 0.0875  1 Ga 2.00
O: 0.4363 0.3296 0.0875  1 Ga 2.00
O: 0.0019 0.0038 0.8128  2 Ga 1.99

(6)
The following is a DFT calculation (PBE-GGA) of an optimized crystal structure of BiRh3Br.

Results
raw formation energy: 6.31 eV per formula unit
crystal system: cubic

a = 5.0722 Å, b = 5.0722 Å, c = 5.0722 Å
α = 90.00°, β = 90.00°, γ = 90.00°
Last column: nearest neighbours and their distance in Å.
Fractional positions:
Rh: 0.0000 0.5000 0.0000  2 Bi 2.54
Rh: 0.0000 0.0000 0.5000  2 Bi 2.54
Rh: 0.5000 0.0000 0.0000  2 Bi 2.54
Bi: 0.0000 0.0000 0.0000  6 Rh 2.54
Br: 0.5000 0.5000 0.5000  12 Rh 3.59

(7)
The following is a DFT calculation (PBE-GGA) of an optimized crystal structure of ZnCo2Si.

Results
raw formation energy: -1.19 eV per formula unit
crystal system: tetragonal

a = 4.0103 Å, b = 4.0102 Å, c = 2.7754 Å
α = 90.00°, β = 90.00°, γ = 90.00°
Last column: nearest neighbours and their distance in Å.
Fractional positions:
Zn: 0.0000 0.5000 0.5000  8 Co 2.44
Co: 0.0000 0.0000 0.0000  4 Zn 2.44, 4 Si 2.44
Co: 0.5000 0.5000 0.0000  4 Si 2.44, 4 Zn 2.44
Si: 0.5000 0.0000 0.5000  8 Co 2.44

(8)
The following is a DFT calculation (PBE-GGA) of an optimized crystal structure of Ho3ScHg7.

Results
crystal system: orthorhombic
calculated formation energy: -210 meV/atom

a = 3.6012 Å, b = 16.4064 Å, c = 11.1863 Å
α = 90.00°, β = 90.00°, γ = 96.30°
Last column: nearest neighbours and their distance in Å.
Fractional positions:
Ho: 0.0618 0.1237 0.4245  8 Hg 3.11-3.20
Ho: 0.9382 0.8763 0.5755  8 Hg 3.11-3.20
Ho: 0.1781 0.3562 0.7500  8 Hg 3.08-3.21, 1 Sc 3.33
Ho: 0.8219 0.6438 0.2500  8 Hg 3.08-3.21, 1 Sc 3.33
Ho: 0.0618 0.1237 0.0755  8 Hg 3.11-3.20
Ho: 0.9382 0.8763 0.9245  8 Hg 3.11-3.20
Sc: 0.9240 0.8481 0.2500  8 Hg 2.99-3.09, 1 Ho 3.33
Sc: 0.0760 0.1519 0.7500  8 Hg 2.99-3.09, 1 Ho 3.33
Hg: 0.3883 0.7766 0.7500  4 Ho 3.11
Hg: 0.6117 0.2234 0.2500  4 Ho 3.11
Hg: 0.4822 0.9644 0.3797  2 Hg 2.90-2.93, 2 Sc 2.99, 4 Ho 3.18-3.20
Hg: 0.5178 0.0356 0.6203  2 Hg 2.90-2.93, 2 Sc 2.99, 4 Ho 3.18-3.20
Hg: 0.5178 0.0356 0.8797  2 Hg 2.90-2.93, 2 Sc 2.99, 4 Ho 3.18-3.20
Hg: 0.4822 0.9644 0.1203  2 Hg 2.90-2.93, 2 Sc 2.99, 4 Ho 3.18-3.20
Hg: 0.3765 0.7530 0.4267  2 Sc 3.09, 4 Ho 3.17-3.21, 1 Hg 3.32
Hg: 0.6235 0.2470 0.5733  2 Sc 3.09, 4 Ho 3.17-3.21, 1 Hg 3.32
Hg: 0.2748 0.5496 0.4255  2 Hg 2.94, 2 Ho 3.08
Hg: 0.7252 0.4504 0.5745  2 Hg 2.94, 2 Ho 3.08
Hg: 0.7252 0.4504 0.9255  2 Hg 2.94, 2 Ho 3.08
Hg: 0.2748 0.5496 0.0745  2 Hg 2.94, 2 Ho 3.08
Hg: 0.3765 0.7530 0.0733  2 Sc 3.09, 4 Ho 3.17-3.21, 1 Hg 3.32
Hg: 0.6235 0.2470 0.9267  2 Sc 3.09, 4 Ho 3.17-3.21, 1 Hg 3.32

(9)
The following is a DFT calculation (PBE-GGA) of an optimized crystal structure of SiTc2P.

Results
raw formation energy: -1.60 eV per formula unit
crystal system: cubic

a = 4.1842 Å, b = 4.1842 Å, c = 4.1842 Å
α = 60.00°, β = 60.00°, γ = 60.00°
Last column: nearest neighbours and their distance in Å.
Fractional positions:
P: 0.5000 0.5000 0.5000  8 Tc 2.56
Si: 0.0000 0.0000 0.0000  8 Tc 2.56
Tc: 0.2500 0.2500 0.2500  4 Si 2.56, 4 P 2.56
Tc: 0.7500 0.7500 0.7500  4 P 2.56, 4 Si 2.56

(10)
The following is a DFT calculation (PBE-GGA) of an optimized crystal structure of Hg3PtRh3O8.

Results
raw formation energy: -7.32 eV per formula unit
crystal system: monoclinic

a = 6.2098 Å, b = 6.2196 Å, c = 8.2021 Å
α = 112.52°, β = 90.00°, γ = 119.95°
Last column: nearest neighbours and their distance in Å.
Fractional positions:
Hg: 0.0000 0.0000 0.0000  4 Hg 3.11, 6 O 3.24-3.27
Hg: 0.0000 0.5000 0.0000  4 Hg 3.10-3.11, 6 O 3.23-3.29
Hg: 0.5000 0.5000 0.0000  4 Hg 3.10-3.11, 6 O 3.23-3.29
Pt: 0.0000 0.0000 0.5000  6 O 2.04
Rh: 0.5000 0.0000 0.5000  6 O 2.02-2.05
Rh: 0.5000 0.5000 0.5000  6 O 2.02-2.05
Rh: 0.0000 0.5000 0.5000  6 O 2.02-2.05
O: 0.2909 0.5817 0.3735  3 Rh 2.02
O: 0.7091 0.4183 0.6265  3 Rh 2.02
O: 0.7894 0.5787 0.3663  1 Pt 2.04, 2 Rh 2.05
O: 0.2106 0.4213 0.6337  1 Pt 2.04, 2 Rh 2.05
O: 0.7893 0.0761 0.3662  1 Pt 2.04, 2 Rh 2.05
O: 0.2107 0.9239 0.6338  1 Pt 2.04, 2 Rh 2.05
O: 0.2868 0.0761 0.3662  1 Pt 2.04, 2 Rh 2.05
O: 0.7132 0.9239 0.6338  1 Pt 2.04, 2 Rh 2.05

Spin magnetization for the records above, in order: 0.00 0.00 0.00 0.00 0.00 1.82 0.01 0.00 0.00 0.00 μB/cell
Total DFT energy (no corrections) for the records above, in order: -4.99 -9.73 -3.69 -2.97 -5.74 -4.26 -5.52 -2.23 -8.29 -5.07 eV/atom